Ba3AcZr2O9: optimized geometry, GGA-PBE.

Calculated values
The formation energy (no corrections) comes out at -2.94 eV/atom. For the total energy, the calculation gives -7.7179 eV/atom.

Cell lengths 6.1739, 6.1739, 8.0348 Å; angles 90.00, 90.00, 120.00 degrees
Space group P-3m1 (No. 164)
Inequivalent atoms, fractional coordinates:
Ba (0.0000, 0.0000, 0.0000) x1
Ba (0.3333, 0.6667, 0.7230) x2
Ac (0.0000, 0.0000, 0.5000) x1
Zr (0.3333, 0.6667, 0.1649) x2
O (0.0000, 0.5000, 0.0000) x3
O (0.1706, 0.3411, 0.2993) x6